[1]
Computed, not measured: NaNdCd2O4 after structural relaxation at the PBE level of DFT. Values from VASP.

Structure (Quantum ESPRESSO input):
```
&SYSTEM
  ibrav = 0, nat = 8, ntyp = 4
/
ATOMIC_SPECIES
Cd 112.41 Cd.upf
Nd 144.24 Nd.upf
Na 22.99 Na.upf
O 16.00 O.upf
CELL_PARAMETERS angstrom
4.813 0.262 0.000
-0.262 4.813 0.000
-2.276 -2.538 4.898
ATOMIC_POSITIONS angstrom
Cd -0.417 2.088 2.449
Nd 1.990 2.219 4.898
Na -0.286 -0.319 4.898
Cd 2.121 -0.188 2.449
O 1.859 4.626 0.000
O 1.990 2.219 2.501
O -0.286 -0.319 2.397
O 4.396 2.350 0.000
```

Calculated values
crystal system = tetragonal
total magnetization = 0.0 Bohr magnetons per cell
uncorrected formation energy = -1.808 eV per atom

[2]
Computed, not measured: Na2NdCdPb2 after structural relaxation at the PBE level of DFT. Values from VASP.

Structure (Quantum ESPRESSO input):
```
&SYSTEM
  ibrav = 0, nat = 12, ntyp = 4
/
ATOMIC_SPECIES
Cd 112.41 Cd.upf
Nd 144.24 Nd.upf
Pb 207.20 Pb.upf
Na 22.99 Na.upf
CELL_PARAMETERS angstrom
-2.918 0.957 -3.827
-6.202 -1.929 4.246
-0.816 8.883 2.844
ATOMIC_POSITIONS angstrom
Cd -2.981 6.270 0.695
Nd -3.484 3.834 3.615
Pb -4.849 -0.020 3.692
Na -2.244 0.826 1.917
Pb -3.413 3.306 0.284
Na -1.723 1.022 -1.577
Cd -5.779 2.007 1.762
Pb -6.716 4.545 3.112
Pb -2.298 6.934 3.487
Na -5.888 5.782 5.936
Na -5.528 7.725 3.001
Nd -6.522 2.190 5.521
```

Calculated values
crystal system = orthorhombic
total magnetization = 0.0 Bohr magnetons per cell
formation energy = -6.388 kcal/mol of atoms

[3]
Computed, not measured: NaNdCdPd after structural relaxation at the PBE level of DFT. Values from VASP.

Structure (Quantum ESPRESSO input):
```
&SYSTEM
  ibrav = 0, nat = 4, ntyp = 4
/
ATOMIC_SPECIES
Pd 106.42 Pd.upf
Na 22.99 Na.upf
Cd 112.41 Cd.upf
Nd 144.24 Nd.upf
CELL_PARAMETERS angstrom
5.142 0.000 0.000
2.571 4.454 0.000
2.571 1.485 4.199
ATOMIC_POSITIONS angstrom
Pd 0.000 0.000 0.000
Na 7.714 4.454 3.149
Cd 5.142 2.969 2.099
Nd 2.571 1.485 1.050
```

Calculated values
crystal system = cubic
total magnetization = 0.0 Bohr magnetons per cell
formation energy = -6.273 kcal/mol of atoms

[4]
Computed, not measured: NaNdCdRh after structural relaxation at the PBE level of DFT. Values from VASP.

Structure (Quantum ESPRESSO input):
```
&SYSTEM
  ibrav = 0, nat = 4, ntyp = 4
/
ATOMIC_SPECIES
Na 22.99 Na.upf
Nd 144.24 Nd.upf
Rh 102.91 Rh.upf
Cd 112.41 Cd.upf
CELL_PARAMETERS angstrom
-1.573 -2.438 4.047
-4.247 -2.595 -0.151
0.118 -4.977 0.111
ATOMIC_POSITIONS angstrom
Na 0.000 0.000 0.000
Nd -1.426 -2.503 1.002
Rh -2.851 -5.005 2.004
Cd -4.277 -7.508 3.006
```

Calculated values
crystal system = cubic
total magnetization = 0.0 Bohr magnetons per cell
formation energy = -4.390 kcal/mol of atoms